No. 1
Th3ZnNi5 | PBE | optimized geometry

a b c (Å): 8.3369 8.3369 5.5398
angles (deg): 90.00 90.00 120.00
Fractional positions:
1 Th 0.0000 0.3547 0.2500
2 Th 0.0000 0.6453 0.7500
3 Th 0.3547 0.0000 0.2500
4 Th 0.3547 0.3547 0.7500
5 Th 0.6453 0.0000 0.7500
6 Th 0.6453 0.6453 0.2500
7 Zn 0.0000 0.0000 0.0000
8 Zn 0.0000 0.0000 0.5000
9 Ni 0.0000 0.3057 0.7500
10 Ni 0.0000 0.6943 0.2500
11 Ni 0.3057 0.0000 0.7500
12 Ni 0.3057 0.3057 0.2500
13 Ni 0.3333 0.6667 0.0000
14 Ni 0.3333 0.6667 0.5000
15 Ni 0.6667 0.3333 0.0000
16 Ni 0.6667 0.3333 0.5000
17 Ni 0.6943 0.0000 0.2500
18 Ni 0.6943 0.6943 0.7500

Properties
The value obtained for the energy relative to the elements is -0.327 eV/atom. The calculated density is 10.51 Mg/m³. The total magnetic moment is 0.0 μB per formula unit.



No. 2
La2Sb2H4Ir | PBE | optimized geometry

a b c (Å): 6.1018 6.1018 6.1018
angles (deg): 118.99 118.99 91.76
Fractional positions:
1 La 0.2500 0.7500 0.5000
2 La 0.7500 0.2500 0.5000
3 Sb 0.1773 0.1773 0.0000
4 Sb 0.8227 0.8227 0.0000
5 H 0.3059 0.3059 0.6117
6 H 0.3059 0.6941 0.0000
7 H 0.6941 0.3059 0.0000
8 H 0.6941 0.6941 0.3883
9 Ir 0.5000 0.5000 0.0000

Properties
The calculated density is 7.31 Mg/m³. The total magnetic moment is 0.0 μB per formula unit. Its total energy is -4.936 eV per atom.



No. 3
Li8In2Ga | PBE | optimized geometry

a b c (Å): 7.8218 7.8218 4.8516
angles (deg): 106.44 106.44 122.61
Fractional positions:
1 Li 0.1014 0.3406 0.6806
2 Li 0.1986 0.8014 0.0000
3 Li 0.3406 0.1014 0.6806
4 Li 0.4051 0.4051 0.1986
5 Li 0.5949 0.5949 0.8014
6 Li 0.6594 0.8986 0.3194
7 Li 0.8014 0.1986 0.0000
8 Li 0.8986 0.6594 0.3194
9 In 0.3111 0.6889 0.5000
10 In 0.6889 0.3111 0.5000
11 Ga 0.0000 0.0000 0.0000

Properties
The value obtained for the energy relative to the elements is -0.146 eV/atom. For the distance to the lowest polymorph of the same formula, the calculation gives 0.014 eV per atom. The calculated density is 2.92 Mg/m³. The total magnetic moment is 0.0 μB per formula unit.



No. 4
Pm3SmHo5 | PBE | optimized geometry

a b c (Å): 9.6910 9.6910 11.4401
angles (deg): 110.70 110.70 38.24
Fractional positions:
1 Pm 0.0000 0.0000 0.0000
2 Pm 0.0000 0.0000 0.5000
3 Pm 0.0150 0.6431 0.6276
4 Pm 0.3569 0.9850 0.8724
5 Pm 0.6431 0.0150 0.1276
6 Pm 0.9850 0.3569 0.3724
7 Sm 0.4067 0.5933 0.7500
8 Sm 0.5933 0.4067 0.2500
9 Ho 0.1183 0.5429 0.2874
10 Ho 0.1182 0.8818 0.2500
11 Ho 0.1447 0.5341 0.9851
12 Ho 0.4572 0.8817 0.2126
13 Ho 0.4659 0.8553 0.5149
14 Ho 0.5341 0.1447 0.4851
15 Ho 0.5429 0.1183 0.7874
16 Ho 0.8553 0.4659 0.0149
17 Ho 0.8818 0.1182 0.7500
18 Ho 0.8817 0.4572 0.7126

Properties
The value obtained for the energy relative to the elements is 0.289 eV/atom. For the distance to the lowest polymorph of the same formula, the calculation gives 0.030 eV per atom. The calculated density is 7.59 Mg/m³. The total magnetic moment is 0.0 μB per formula unit.



No. 5
La4Er2Tm3 | PBE | optimized geometry

a b c (Å): 8.0768 8.0768 8.0416
angles (deg): 107.42 107.42 36.96
Fractional positions:
1 La 0.0533 0.0533 0.3292
2 La 0.2762 0.2762 0.6677
3 La 0.7238 0.7238 0.3323
4 La 0.9467 0.9467 0.6708
5 Er 0.1678 0.1678 0.0000
6 Er 0.8322 0.8322 0.0000
7 Tm 0.3881 0.3881 0.3276
8 Tm 0.5000 0.5000 0.0000
9 Tm 0.6119 0.6119 0.6724

Properties
The value obtained for the energy relative to the elements is 0.036 eV/atom. For the distance to the lowest polymorph of the same formula, the calculation gives 0.000 eV per atom. The calculated density is 7.75 Mg/m³. The total magnetic moment is 0.0 μB per formula unit.



No. 6
Re3Ag | PBE | optimized geometry

a b c (Å): 5.5978 5.5978 9.0349
angles (deg): 90.00 90.00 120.00
Fractional positions:
1 Re 0.0000 0.5000 0.0000
2 Re 0.0000 0.5000 0.5000
3 Re 0.1747 0.3494 0.2500
4 Re 0.1747 0.8253 0.2500
5 Re 0.3494 0.1747 0.7500
6 Re 0.5000 0.0000 0.0000
7 Re 0.5000 0.0000 0.5000
8 Re 0.5000 0.5000 0.0000
9 Re 0.5000 0.5000 0.5000
10 Re 0.6506 0.8253 0.2500
11 Re 0.8253 0.1747 0.7500
12 Re 0.8253 0.6506 0.7500
13 Ag 0.0000 0.0000 0.0000
14 Ag 0.0000 0.0000 0.5000
15 Ag 0.3333 0.6667 0.7500
16 Ag 0.6667 0.3333 0.2500

Properties
The value obtained for the energy relative to the elements is 0.522 eV/atom. For the distance to the lowest polymorph of the same formula, the calculation gives 0.246 eV per atom. The calculated density is 18.06 Mg/m³. The total magnetic moment is 0.0 μB per formula unit.



No. 7
Fe2TcNi | PBE | optimized geometry

a b c (Å): 8.4848 8.4848 8.4848
angles (deg): 17.66 17.66 17.66
Fractional positions:
1 Fe 0.2472 0.2472 0.2472
2 Fe 0.7528 0.7528 0.7528
3 Tc 0.0000 0.0000 0.0000
4 Ni 0.5000 0.5000 0.5000

Properties
The value obtained for the energy relative to the elements is 0.136 eV/atom. The calculated density is 9.08 Mg/m³. The total magnetic moment is 4.3 μB per formula unit.



No. 8
La3Pr3Tl2Sn | PBE | optimized geometry

a b c (Å): 8.7831 8.7831 4.4954
angles (deg): 90.00 90.00 120.00
Fractional positions:
1 La 0.0000 0.7269 0.0000
2 La 0.2731 0.2731 0.0000
3 La 0.7269 0.0000 0.0000
4 Pr 0.0000 0.3993 0.5000
5 Pr 0.3993 0.0000 0.5000
6 Pr 0.6007 0.6007 0.5000
7 Tl 0.3333 0.6667 0.0000
8 Tl 0.6667 0.3333 0.0000
9 Sn 0.0000 0.0000 0.5000

Properties
The value obtained for the energy relative to the elements is -0.376 eV/atom. The calculated density is 7.56 Mg/m³. The total magnetic moment is 0.0 μB per formula unit.



No. 9
Pm5PuRh4 | PBE | optimized geometry

a b c (Å): 8.1709 8.1709 7.1179
angles (deg): 98.22 98.22 32.93
Fractional positions:
1 Pm 0.0000 0.0000 0.0000
2 Pm 0.3330 0.3330 0.4450
3 Pm 0.3325 0.3325 0.9452
4 Pm 0.6675 0.6675 0.0548
5 Pm 0.6670 0.6670 0.5550
6 Pu 0.0000 0.0000 0.5000
7 Rh 0.1525 0.1525 0.7858
8 Rh 0.4956 0.4956 0.7294
9 Rh 0.5044 0.5044 0.2706
10 Rh 0.8475 0.8475 0.2142

Properties
The value obtained for the energy relative to the elements is -0.522 eV/atom. The calculated density is 8.97 Mg/m³. The total magnetic moment is 5.0 μB per formula unit.



No. 10
Ba3Mg7Tl4 | PBE | optimized geometry

a b c (Å): 9.6648 9.6648 10.6778
angles (deg): 122.80 122.80 30.95
Fractional positions:
1 Ba 0.0000 0.0000 0.0000
2 Ba 0.2961 0.2961 0.2963
3 Ba 0.7039 0.7039 0.7037
4 Mg 0.0000 0.0000 0.5000
5 Mg 0.1466 0.1466 0.4218
6 Mg 0.3328 0.3328 0.9828
7 Mg 0.4975 0.4975 0.6867
8 Mg 0.5025 0.5025 0.3133
9 Mg 0.6672 0.6672 0.0172
10 Mg 0.8534 0.8534 0.5782
11 Tl 0.1299 0.1299 0.8421
12 Tl 0.3445 0.3445 0.7136
13 Tl 0.6555 0.6555 0.2864
14 Tl 0.8701 0.8701 0.1579

Properties
The value obtained for the energy relative to the elements is -0.209 eV/atom. The calculated density is 5.48 Mg/m³. The total magnetic moment is 0.0 μB per formula unit.



No. 11
CuWSN2 | PBE | optimized geometry

a b c (Å): 3.7313 3.7313 4.4592
angles (deg): 90.00 90.00 90.00
Fractional positions:
1 Cu 0.0000 0.0000 0.0000
2 W 0.5000 0.5000 0.5000
3 S 0.0000 0.0000 0.5000
4 N 0.0000 0.5000 0.0000
5 N 0.5000 0.0000 0.0000

Properties
For the distance to the lowest polymorph of the same formula, the calculation gives 1.289 eV per atom. The calculated density is 8.22 Mg/m³. The total magnetic moment is 0.7 μB per formula unit.



No. 12
Pm12PrHo3 | PBE | optimized geometry

a b c (Å): 5.1338 5.1338 20.5086
angles (deg): 90.00 90.00 90.00
Fractional positions:
1 Pm 0.0000 0.0000 0.0000
2 Pm 0.0000 0.0000 0.2479
3 Pm 0.0000 0.0000 0.5000
4 Pm 0.0000 0.0000 0.7521
5 Pm 0.0000 0.5000 0.1243
6 Pm 0.0000 0.5000 0.3727
7 Pm 0.0000 0.5000 0.6273
8 Pm 0.0000 0.5000 0.8757
9 Pm 0.5000 0.0000 0.1243
10 Pm 0.5000 0.0000 0.3727
11 Pm 0.5000 0.0000 0.6273
12 Pm 0.5000 0.0000 0.8757
13 Pr 0.5000 0.5000 0.5000
14 Ho 0.5000 0.5000 0.0000
15 Ho 0.5000 0.5000 0.2484
16 Ho 0.5000 0.5000 0.7516

Properties
The value obtained for the energy relative to the elements is 0.015 eV/atom. The calculated density is 7.30 Mg/m³. The total magnetic moment is 0.0 μB per formula unit.



No. 13
TiH3Ir | PBE | optimized geometry

a b c (Å): 3.4824 3.4824 3.4824
angles (deg): 90.00 90.00 90.00
Fractional positions:
1 Ti 0.0000 0.0000 0.0000
2 H 0.0000 0.5000 0.5000
3 H 0.5000 0.0000 0.5000
4 H 0.5000 0.5000 0.0000
5 Ir 0.5000 0.5000 0.5000

Properties
The calculated density is 9.56 Mg/m³. The total magnetic moment is 0.0 μB per formula unit. Its total energy is -5.453 eV per atom.



No. 14
NdInC | PBE | optimized geometry

a b c (Å): 11.3476 11.3476 11.3476
angles (deg): 161.30 161.30 26.56
Fractional positions:
1 Nd 0.1075 0.1075 0.0000
2 Nd 0.8925 0.8925 0.0000
3 In 0.2847 0.2847 0.0000
4 In 0.7153 0.7153 0.0000
5 C 0.3829 0.3829 0.0000
6 C 0.6171 0.6171 0.0000

Properties
The value obtained for the energy relative to the elements is 0.316 eV/atom. The calculated density is 6.00 Mg/m³. The total magnetic moment is 0.0 μB per formula unit.



No. 15
BaLa | PBE | optimized geometry

a b c (Å): 6.1452 6.1452 11.8203
angles (deg): 90.00 90.00 120.00
Fractional positions:
1 Ba 0.3333 0.6667 0.0792
2 Ba 0.3333 0.6667 0.4208
3 Ba 0.6667 0.3333 0.5792
4 Ba 0.6667 0.3333 0.9208
5 La 0.0000 0.0000 0.2500
6 La 0.0000 0.0000 0.7500
7 La 0.3333 0.6667 0.7500
8 La 0.6667 0.3333 0.2500

Properties
The value obtained for the energy relative to the elements is 0.313 eV/atom. For the distance to the lowest polymorph of the same formula, the calculation gives 0.216 eV per atom. The calculated density is 4.75 Mg/m³. The total magnetic moment is 0.0 μB per formula unit.



No. 16
NaTl2ICl4 | PBE | optimized geometry

a b c (Å): 6.4778 4.2568 9.0417
angles (deg): 90.00 101.08 90.00
Fractional positions:
1 Na 0.0000 0.0000 0.0000
2 Tl 0.5000 0.0000 0.5000
3 Tl 0.5000 0.5000 0.0000
4 I 0.0000 0.5000 0.5000
5 Cl 0.2284 0.5000 0.1769
6 Cl 0.2997 0.0000 0.8285
7 Cl 0.7003 0.0000 0.1715
8 Cl 0.7716 0.5000 0.8231

Properties
The calculated density is 4.75 Mg/m³. The total magnetic moment is 0.0 μB per formula unit. Its total energy is -2.759 eV per atom.



No. 17
HfGeMo2 | PBE | optimized geometry

a b c (Å): 5.9451 5.9451 5.9451
angles (deg): 101.26 101.26 127.56
Fractional positions:
1 Hf 0.0000 0.0000 0.0000
2 Hf 0.7500 0.2500 0.5000
3 Ge 0.2500 0.7500 0.5000
4 Ge 0.5000 0.5000 0.0000
5 Mo 0.1814 0.6250 0.0564
6 Mo 0.3750 0.4314 0.5564
7 Mo 0.5686 0.1250 0.9436
8 Mo 0.8750 0.8186 0.4436

Properties
The value obtained for the energy relative to the elements is 0.484 eV/atom. The calculated density is 9.85 Mg/m³. The total magnetic moment is 0.0 μB per formula unit.



No. 18
TaP2PdS | PBE | optimized geometry

a b c (Å): 4.8217 4.8217 4.6753
angles (deg): 90.00 90.00 90.00
Fractional positions:
1 Ta 0.0000 0.0000 0.0000
2 P 0.0000 0.5000 0.0000
3 P 0.5000 0.0000 0.0000
4 Pd 0.5000 0.5000 0.5000
5 S 0.0000 0.0000 0.5000

Properties
For the distance to the lowest polymorph of the same formula, the calculation gives 0.000 eV per atom. The calculated density is 5.83 Mg/m³. The total magnetic moment is 0.0 μB per formula unit.



No. 19
Os2RhAu | PBE | optimized geometry

a b c (Å): 3.8888 3.8888 3.9805
angles (deg): 90.00 90.00 90.00
Fractional positions:
1 Os 0.0000 0.5000 0.0000
2 Os 0.5000 0.0000 0.0000
3 Rh 0.0000 0.0000 0.5000
4 Au 0.5000 0.5000 0.5000

Properties
The value obtained for the energy relative to the elements is 0.565 eV/atom. For the distance to the lowest polymorph of the same formula, the calculation gives 0.350 eV per atom. The calculated density is 18.77 Mg/m³. The total magnetic moment is 0.0 μB per formula unit.



No. 20
NaTmAgTe2 | PBE | optimized geometry

a b c (Å): 7.7227 4.9121 8.1827
angles (deg): 90.00 97.75 90.00
Fractional positions:
1 Na 0.0000 0.1171 0.2500
2 Na 0.0000 0.8829 0.7500
3 Tm 0.5000 0.4972 0.7500
4 Tm 0.5000 0.5028 0.2500
5 Ag 0.5000 0.0000 0.0000
6 Ag 0.5000 0.0000 0.5000
7 Te 0.2232 0.3635 0.9666
8 Te 0.2232 0.6365 0.4666
9 Te 0.7768 0.3635 0.5334
10 Te 0.7768 0.6365 0.0334

Properties
The calculated density is 5.99 Mg/m³. The total magnetic moment is 0.0 μB per formula unit. Its total energy is -3.683 eV per atom.